This record from the Alexandria database describes crystalline MgHN at its relaxed geometry. The functional is GGA-PBE.

abc: 5.7529 3.7966 5.7293
angles: 90.00 90.00 90.00
Last column: nearest neighbours and their distance in Å.
Positions (direct):
Mg: 0.1504 0.2500 0.0940  4 N 2.08-2.15, 2 H 2.29
Mg: 0.3496 0.7500 0.5940  4 N 2.08-2.15, 2 H 2.29
Mg: 0.6504 0.2500 0.4060  4 N 2.08-2.15, 2 H 2.29
Mg: 0.8496 0.7500 0.9060  4 N 2.08-2.15, 2 H 2.29
H: 0.1347 0.2500 0.5358  1 N 1.03
H: 0.3653 0.7500 0.0358  1 N 1.03
H: 0.6347 0.2500 0.9642  1 N 1.03
H: 0.8653 0.7500 0.4642  1 N 1.03
N: 0.2178 0.7500 0.9328  1 H 1.03
N: 0.2822 0.2500 0.4328  1 H 1.03
N: 0.7178 0.7500 0.5672  1 H 1.03
N: 0.7822 0.2500 0.0672  1 H 1.03

Summary:
- E (eV/atom) = -5.044
- Fermi-level density of states (states/eV per atom) = 0.00
- crystal system = orthorhombic
- E above lowest polymorph (eV per atom) = 0.004